A plane-wave DFT calculation with GGA-PBE was carried out for a geometry-optimized CeEr2Sc structure.

Summary:
Relative energy among the computed polymorphs ... 0.010 eV/atom
Total moment ... 0.70 μB per cell

abc: 3.4240 3.4240 9.8206
angles: 90.00 90.00 90.00
Closest atoms and distances in Å follow each position.
Positions (direct):
1 Er 0.0000 0.0000 0.2424  4 Sc 3.40, 4 Er 3.42, 4 Ce 3.50
2 Er 0.0000 0.0000 0.7576  4 Sc 3.40, 4 Er 3.42, 4 Ce 3.50
3 Sc 0.5000 0.5000 0.0000  8 Er 3.40, 4 Sc 3.42
4 Ce 0.5000 0.5000 0.5000  4 Ce 3.42, 8 Er 3.50


A plane-wave DFT calculation with GGA-PBE was carried out for a geometry-optimized Sr2P structure.

Summary:
Total moment ... 1.13 μB per cell
Uncorrected energy ... -3.6361 eV per atom

abc: 6.3910 6.3910 6.3910
angles: 111.73 111.73 105.04
Closest atoms and distances in Å follow each position.
Positions (direct):
1 Sr 0.7248 0.2248 0.9497  4 P 3.21
2 Sr 0.2248 0.2752 0.5000  4 P 3.21
3 Sr 0.2752 0.7752 0.0503  4 P 3.21
4 Sr 0.7752 0.7248 0.5000  4 P 3.21
5 P 0.7500 0.7500 0.0000  8 Sr 3.21
6 P 0.2500 0.2500 0.0000  8 Sr 3.21